Computed, not measured: a geometry-optimized Na3Ag2Au7 structure at the PBE-GGA level of DFT.

a b c (Å): 5.5934 5.5934 27.9817
angles (deg): 90.00 90.00 120.00
Space group R-3m (No. 166, hexagonal axes)
Unique sites:
Na 0.0000 0.0000 0.0000 (multiplicity 3)
Na 0.0000 0.0000 0.1429 (multiplicity 6)
Ag 0.0000 0.0000 0.3329 (multiplicity 6)
Au 0.0000 0.0000 0.5000 (multiplicity 3)
Au 0.0025 0.5013 0.9157 (multiplicity 18)

Calculated values
The calculation puts the total magnetization at 0.00 Bohr magnetons per cell. The total energy is -107.3 eV/cell. The value obtained for the density is 10.93 g/cm3. The formation energy is -3.16 eV/f.u.

---

Computed, not measured: a geometry-optimized ZnCd2Cu structure at the PBE-GGA level of DFT.

a b c (Å): 2.9698 4.3862 5.5912
angles (deg): 90.00 104.99 90.00
Space group Pm (No. 6)
Unique sites:
Zn 0.0000 0.0000 0.0000 (multiplicity 1)
Cd 0.2757 0.0000 0.5446 (multiplicity 1)
Cd 0.6068 0.5000 0.2161 (multiplicity 1)
Cu 0.8789 0.5000 0.7521 (multiplicity 1)

Calculated values
The calculation puts the total magnetization at 0.00 Bohr magnetons per cell. The total energy is -6.9 eV/cell. The value obtained for the density is 8.35 g/cm3. The formation energy is 0.25 eV/f.u.

---

Computed, not measured: a geometry-optimized MgGa2O4 structure at the PBE-GGA level of DFT.

a b c (Å): 4.3651 4.3651 4.8242
angles (deg): 90.00 90.00 90.00
Space group P-42m (No. 111)
Unique sites:
Mg 0.0000 0.0000 0.0000 (multiplicity 1)
Ga 0.0000 0.5000 0.5000 (multiplicity 2)
O 0.2404 0.2404 0.2780 (multiplicity 4)

Calculated values
The calculation puts the total magnetization at 0.00 Bohr magnetons per cell. The total energy is -41.6 eV/cell. The value obtained for the density is 4.11 g/cm3. The uncorrected formation energy comes out at -2018 meV/atom.